1.
The following is a DFT calculation (PBE-GGA) of crystalline BP3 at its relaxed geometry.

Unit cell a=3.234 b=3.234 c=9.902 alpha=80.72 beta=80.60 gamma=60.00
Fractional coordinates of all 4 atoms:
1 B 0.000 0.000 0.000
2 P 0.333 0.333 0.000
3 P 0.521 0.513 0.437
4 P 0.811 0.805 0.565

The value obtained for the formation enthalpy at 0 K is 0.04 eV/f.u. The electronic total energy comes out at -5.72 eV per atom. As for the polymorph energy (0 for the lowest one): 0 meV per atom.

---

2.
The following is a DFT calculation (PBE-GGA) of crystalline TbTmCu at its relaxed geometry.

Unit cell a=4.818 b=4.818 c=4.818 alpha=60.00 beta=60.00 gamma=60.00
Fractional coordinates of all 3 atoms:
1 Tb 0.000 0.000 0.000
2 Tm 0.500 0.500 0.500
3 Cu 0.250 0.250 0.250

The value obtained for the formation enthalpy at 0 K is 0.12 eV/f.u. The electronic total energy comes out at -4.36 eV per atom. As for the polymorph energy (0 for the lowest one): 212 meV per atom.

---

3.
The following is a DFT calculation (PBE-GGA) of crystalline TaZnReS2 at its relaxed geometry.

Unit cell a=4.692 b=4.692 c=5.290 alpha=90.00 beta=90.00 gamma=90.00
Fractional coordinates of all 5 atoms:
1 Ta 0.000 0.000 0.000
2 Zn 0.500 0.500 0.500
3 Re 0.000 0.000 0.500
4 S 0.000 0.500 0.000
5 S 0.500 0.000 0.000

The electronic total energy comes out at -5.92 eV per atom. The value obtained for the uncorrected formation energy is 841.3 meV per atom.

---

4.
The following is a DFT calculation (PBE-GGA) of crystalline AlH3O3 at its relaxed geometry.

Unit cell a=8.534 b=5.218 c=12.744 alpha=90.00 beta=131.94 gamma=90.00
Fractional coordinates of all 56 atoms:
1 Al 0.000 0.229 0.000
2 Al 0.000 0.771 0.500
3 Al 0.147 0.258 0.509
4 Al 0.147 0.742 0.009
5 Al 0.531 0.260 0.524
6 Al 0.531 0.740 0.024
7 Al 0.670 0.229 0.015
8 Al 0.670 0.771 0.515
9 H 0.113 0.122 0.279
10 H 0.113 0.878 0.779
11 H 0.230 0.064 0.921
12 H 0.230 0.936 0.421
13 H 0.237 0.461 0.720
14 H 0.237 0.539 0.220
15 H 0.294 0.391 0.904
16 H 0.294 0.609 0.404
17 H 0.367 0.060 0.217
18 H 0.367 0.940 0.717
19 H 0.447 0.430 0.127
20 H 0.447 0.570 0.627
21 H 0.625 0.348 0.805
22 H 0.625 0.652 0.305
23 H 0.664 0.144 0.399
24 H 0.664 0.856 0.899
25 H 0.740 0.060 0.233
26 H 0.740 0.940 0.733
27 H 0.889 0.416 0.620
28 H 0.889 0.584 0.120
29 H 0.943 0.446 0.801
30 H 0.943 0.554 0.301
31 H 0.975 0.081 0.623
32 H 0.975 0.919 0.123
33 O 0.062 0.428 0.905
34 O 0.062 0.572 0.405
35 O 0.112 0.448 0.618
36 O 0.112 0.552 0.118
37 O 0.230 0.114 0.396
38 O 0.230 0.886 0.896
39 O 0.263 0.056 0.113
40 O 0.263 0.944 0.613
41 O 0.411 0.433 0.908
42 O 0.411 0.567 0.408
43 O 0.445 0.383 0.621
44 O 0.445 0.617 0.121
45 O 0.563 0.085 0.408
46 O 0.563 0.915 0.908
47 O 0.634 0.047 0.123
48 O 0.634 0.953 0.623
49 O 0.731 0.360 0.910
50 O 0.731 0.640 0.410
51 O 0.783 0.461 0.626
52 O 0.783 0.539 0.126
53 O 0.905 0.072 0.398
54 O 0.905 0.928 0.898
55 O 0.968 0.102 0.135
56 O 0.968 0.898 0.635

The electronic total energy comes out at -5.81 eV per atom. As for the polymorph energy (0 for the lowest one): 44 meV per atom.

---

5.
The following is a DFT calculation (PBE-GGA) of crystalline Ac2CuBiO5 at its relaxed geometry.

Unit cell a=7.590 b=7.590 c=10.806 alpha=90.00 beta=90.00 gamma=151.71
Fractional coordinates of all 18 atoms:
1 Ac 0.126 0.874 0.500
2 Ac 0.136 0.864 0.152
3 Ac 0.864 0.136 0.652
4 Ac 0.874 0.126 0.000
5 Cu 0.217 0.783 0.897
6 Cu 0.783 0.217 0.397
7 Bi 0.425 0.575 0.287
8 Bi 0.575 0.425 0.787
9 O 0.008 0.992 0.329
10 O 0.305 0.695 0.483
11 O 0.313 0.687 0.134
12 O 0.338 0.662 0.819
13 O 0.498 0.502 0.607
14 O 0.502 0.498 0.107
15 O 0.662 0.338 0.319
16 O 0.687 0.313 0.634
17 O 0.695 0.305 0.983
18 O 0.992 0.008 0.829

The electronic total energy comes out at -6.68 eV per atom. The value obtained for the uncorrected formation energy is -2124.7 meV per atom.

---

6.
The following is a DFT calculation (PBE-GGA) of crystalline Sm3YEr4 at its relaxed geometry.

Unit cell a=11.324 b=7.284 c=6.285 alpha=90.00 beta=90.00 gamma=90.00
Fractional coordinates of all 16 atoms:
1 Sm 0.000 0.128 0.000
2 Sm 0.250 0.127 0.335
3 Sm 0.250 0.873 0.835
4 Sm 0.500 0.872 0.500
5 Sm 0.750 0.127 0.335
6 Sm 0.750 0.873 0.835
7 Y 0.000 0.872 0.499
8 Y 0.500 0.128 0.999
9 Er 0.000 0.377 0.500
10 Er 0.000 0.621 0.000
11 Er 0.249 0.622 0.332
12 Er 0.251 0.378 0.832
13 Er 0.500 0.379 0.500
14 Er 0.500 0.623 0.000
15 Er 0.749 0.378 0.832
16 Er 0.751 0.622 0.332

The value obtained for the formation enthalpy at 0 K is 0.12 eV/f.u. The electronic total energy comes out at -4.84 eV per atom. As for the polymorph energy (0 for the lowest one): 0 meV per atom.

---

7.
The following is a DFT calculation (PBE-GGA) of crystalline ThSc2OsC at its relaxed geometry.

Unit cell a=6.749 b=6.749 c=6.749 alpha=126.45 beta=126.45 gamma=79.16
Fractional coordinates of all 10 atoms:
1 Th 0.250 0.250 0.000
2 Th 0.750 0.750 0.000
3 Sc 0.187 0.687 0.874
4 Sc 0.313 0.187 0.500
5 Sc 0.687 0.813 0.500
6 Sc 0.813 0.313 0.126
7 Os 0.250 0.750 0.500
8 Os 0.750 0.250 0.500
9 C 0.000 0.000 0.000
10 C 0.500 0.500 0.000

The value obtained for the formation enthalpy at 0 K is -1.58 eV/f.u. The electronic total energy comes out at -8.42 eV per atom.

---

8.
The following is a DFT calculation (PBE-GGA) of crystalline Y8Ho4Er3 at its relaxed geometry.

Unit cell a=9.250 b=9.250 c=6.721 alpha=111.27 beta=111.27 gamma=87.57
Fractional coordinates of all 15 atoms:
1 Y 0.143 0.857 0.000
2 Y 0.233 0.233 0.469
3 Y 0.235 0.235 0.992
4 Y 0.249 0.751 0.500
5 Y 0.751 0.249 0.500
6 Y 0.765 0.765 0.008
7 Y 0.767 0.767 0.531
8 Y 0.857 0.143 0.000
9 Ho 0.000 0.500 0.500
10 Ho 0.500 0.000 0.500
11 Ho 0.500 0.500 0.000
12 Ho 0.500 0.500 0.500
13 Er 0.000 0.000 0.500
14 Er 0.000 0.500 0.000
15 Er 0.500 0.000 0.000

The value obtained for the formation enthalpy at 0 K is 6.09 eV/f.u. The electronic total energy comes out at -5.17 eV per atom. As for the polymorph energy (0 for the lowest one): 248 meV per atom.

---

9.
The following is a DFT calculation (PBE-GGA) of crystalline KCrSe at its relaxed geometry.

Unit cell a=3.798 b=3.798 c=11.071 alpha=90.00 beta=90.00 gamma=90.00
Fractional coordinates of all 6 atoms:
1 K 0.250 0.250 0.188
2 K 0.750 0.750 0.812
3 Cr 0.250 0.750 0.500
4 Cr 0.750 0.250 0.500
5 Se 0.250 0.250 0.639
6 Se 0.750 0.750 0.361

The electronic total energy comes out at -5.09 eV per atom. The value obtained for the uncorrected formation energy is -355.1 meV per atom. As for the polymorph energy (0 for the lowest one): 0 meV per atom.

---

10.
The following is a DFT calculation (PBE-GGA) of crystalline Li2LaBi2 at its relaxed geometry.

Unit cell a=4.822 b=4.822 c=11.128 alpha=90.00 beta=90.00 gamma=90.00
Fractional coordinates of all 10 atoms:
1 Li 0.250 0.250 0.122
2 Li 0.250 0.750 0.500
3 Li 0.750 0.250 0.500
4 Li 0.750 0.750 0.878
5 La 0.250 0.250 0.762
6 La 0.750 0.750 0.238
7 Bi 0.250 0.250 0.359
8 Bi 0.250 0.750 0.000
9 Bi 0.750 0.250 0.000
10 Bi 0.750 0.750 0.641

The value obtained for the formation enthalpy at 0 K is -3.32 eV/f.u. The electronic total energy comes out at -3.97 eV per atom. As for the polymorph energy (0 for the lowest one): 0 meV per atom.